Record 1
DFT (PBE-GGA) results for an optimized crystal structure of MgOsW.

The space group is I4mm (No. 107) and the conventional cell measures 3.094, 3.094 and 10.090 Å, with angles of 90.00, 90.00 and 90.00 degrees. The inequivalent atoms are Mg at (0.000, 0.000, 0.000), Os at (0.000, 0.000, 0.327) and W at (0.000, 0.000, 0.687).

As for the energy above the lowest structure with this stoichiometry: 0.000 eV per atom. The formation energy from the elements comes out at 152 meV per atom. As for the total DFT energy (no corrections): -8.440 eV per atom. The calculation puts the density of states at the Fermi level at 1.04 states/eV/f.u.

---

Record 2
DFT (PBE-GGA) results for an optimized crystal structure of TaMo.

The space group is Cmme (No. 67) and the conventional cell measures 3.218, 4.639 and 18.245 Å, with angles of 90.00, 90.00 and 90.00 degrees. The inequivalent atoms are Ta at (0.000, 0.250, 0.066), Ta at (0.000, 0.250, 0.802), Mo at (0.000, 0.250, 0.321) and Mo at (0.000, 0.250, 0.560).

The formation energy from the elements comes out at -36 meV per atom. As for the total DFT energy (no corrections): -11.378 eV per atom. The calculation puts the density of states at the Fermi level at 1.86 states/eV/f.u.

---

Record 3
DFT (PBE-GGA) results for an optimized crystal structure of Sm4Bi2SbPb.

The space group is I-4m2 (No. 119) and the conventional cell measures 6.405, 6.405 and 12.798 Å, with angles of 90.00, 90.00 and 90.00 degrees. The inequivalent atoms are Sm at (0.000, 0.000, 0.247), Sm at (0.000, 0.500, 0.000), Bi at (0.000, 0.000, 0.500), Bi at (0.000, 0.500, 0.750), Sb at (0.000, 0.000, 0.000) and Pb at (0.000, 0.500, 0.250).

The calculation puts the energy relative to the elements, uncorrected at -0.8493 eV/atom. As for the total DFT energy (no corrections): -5.158 eV per atom. The calculation puts the density of states at the Fermi level at 5.35 states/eV/f.u.

---

Record 4
DFT (PBE-GGA) results for an optimized crystal structure of Tb2Pm3Pr2.

The space group is C2/m (No. 12) and the conventional cell measures 17.854, 3.560 and 8.716 Å, with angles of 90.00, 119.10 and 90.00 degrees. The inequivalent atoms are Tb at (0.149, 0.000, 0.335), Pm at (0.000, 0.000, 0.500), Pm at (0.213, 0.000, 0.797) and Pr at (0.066, 0.500, 0.912).

As for the energy above the lowest structure with this stoichiometry: 0.100 eV per atom. The formation energy from the elements comes out at 114 meV per atom. As for the total DFT energy (no corrections): -4.611 eV per atom. The calculation puts the density of states at the Fermi level at 10.79 states/eV/f.u.

---

Record 5
DFT (PBE-GGA) results for an optimized crystal structure of Tl6CdBi2.

The space group is C2/m (No. 12) and the conventional cell measures 11.727, 4.950 and 10.446 Å, with angles of 90.00, 114.00 and 90.00 degrees. The inequivalent atoms are Tl at (0.006, 0.000, 0.180), Tl at (0.166, 0.500, 0.051), Tl at (0.172, 0.500, 0.391), Cd at (0.000, 0.000, 0.500) and Bi at (0.158, 0.500, 0.716).

As for the energy above the lowest structure with this stoichiometry: 0.000 eV per atom. The formation energy from the elements comes out at 2 meV per atom. As for the total DFT energy (no corrections): -2.539 eV per atom. The calculation puts the density of states at the Fermi level at 3.77 states/eV/f.u.

---

Record 6
DFT (PBE-GGA) results for an optimized crystal structure of TbLuCu.

The space group is I4mm (No. 107) and the conventional cell measures 3.438, 3.438 and 12.225 Å, with angles of 90.00, 90.00 and 90.00 degrees. The inequivalent atoms are Tb at (0.000, 0.000, 0.000), Lu at (0.000, 0.000, 0.278) and Cu at (0.000, 0.000, 0.649).

As for the energy above the lowest structure with this stoichiometry: 0.000 eV per atom. The formation energy from the elements comes out at -143 meV per atom. As for the total DFT energy (no corrections): -4.559 eV per atom. The calculation puts the density of states at the Fermi level at 3.95 states/eV/f.u.

---

Record 7
DFT (PBE-GGA) results for an optimized crystal structure of Nd5Dy2In5.

The space group is C2/m (No. 12) and the conventional cell measures 11.739, 5.286 and 12.225 Å, with angles of 90.00, 109.52 and 90.00 degrees. The inequivalent atoms are Nd at (0.000, 0.000, 0.000), Nd at (0.136, 0.000, 0.774), Nd at (0.156, 0.000, 0.500), Dy at (0.070, 0.500, 0.258), In at (0.000, 0.500, 0.500), In at (0.172, 0.500, 0.960) and In at (0.227, 0.000, 0.268).

The formation energy from the elements comes out at -315 meV per atom. As for the total DFT energy (no corrections): -4.210 eV per atom. The calculation puts the density of states at the Fermi level at 12.80 states/eV/f.u.

---

Record 8
DFT (PBE-GGA) results for an optimized crystal structure of ThH4Os.

The space group is Cmcm (No. 63) and the conventional cell measures 4.238, 12.181 and 4.683 Å, with angles of 90.00, 90.00 and 90.00 degrees. The inequivalent atoms are Th at (0.000, 0.131, 0.250), H at (0.000, 0.092, 0.750), H at (0.000, 0.300, 0.520), H at (0.000, 0.500, 0.000) and Os at (0.000, 0.392, 0.250).

As for the total DFT energy (no corrections): -5.625 eV per atom. The calculation puts the density of states at the Fermi level at 2.11 states/eV/f.u.

---

Record 9
DFT (PBE-GGA) results for an optimized crystal structure of KIr2Rh.

The space group is I-42d (No. 122) and the conventional cell measures 7.732, 7.732 and 5.285 Å, with angles of 90.00, 90.00 and 90.00 degrees. The inequivalent atoms are K at (0.000, 0.000, 0.000), Ir at (0.193, 0.250, 0.625) and Rh at (0.000, 0.000, 0.500).

As for the energy above the lowest structure with this stoichiometry: 0.681 eV per atom. The formation energy from the elements comes out at 1135 meV per atom. As for the total DFT energy (no corrections): -5.407 eV per atom. The calculation puts the density of states at the Fermi level at 3.89 states/eV/f.u.

---

Record 10
DFT (PBE-GGA) results for an optimized crystal structure of AgPbSe2.

The space group is C2/m (No. 12) and the conventional cell measures 6.195, 8.032 and 4.083 Å, with angles of 90.00, 104.54 and 90.00 degrees. The inequivalent atoms are Ag at (0.000, 0.000, 0.000), Pb at (0.000, 0.500, 0.000) and Se at (0.250, 0.250, 0.500).

The calculation puts the energy relative to the elements, uncorrected at -0.0392 eV/atom. As for the total DFT energy (no corrections): -3.421 eV per atom. The calculation puts the density of states at the Fermi level at 0.79 states/eV/f.u.

---

Record 11
DFT (PBE-GGA) results for an optimized crystal structure of CeYBiAu.

The space group is F-43m (No. 216) and the conventional cell measures 7.590, 7.590 and 7.590 Å, with angles of 90.00, 90.00 and 90.00 degrees. The inequivalent atoms are Ce at (0.000, 0.000, 0.000), Y at (0.000, 0.000, 0.500), Bi at (0.250, 0.250, 0.250) and Au at (0.250, 0.250, 0.750).

The formation energy from the elements comes out at -621 meV per atom. As for the total DFT energy (no corrections): -5.510 eV per atom. The calculation puts the density of states at the Fermi level at 10.01 states/eV/f.u.

---

Record 12
DFT (PBE-GGA) results for an optimized crystal structure of ZnMoP2.

The space group is P4mm (No. 99) and the conventional cell measures 3.391, 3.391 and 5.211 Å, with angles of 90.00, 90.00 and 90.00 degrees. The inequivalent atoms are Zn at (0.000, 0.000, 0.000), Mo at (0.500, 0.500, 0.360), P at (0.000, 0.000, 0.473) and P at (0.500, 0.500, 0.856).

The formation energy from the elements comes out at 17 meV per atom. As for the total DFT energy (no corrections): -5.714 eV per atom. The calculation puts the density of states at the Fermi level at 1.85 states/eV/f.u.

---

Record 13
DFT (PBE-GGA) results for an optimized crystal structure of RhWIN2.

The space group is P4/mmm (No. 123) and the conventional cell measures 3.840, 3.840 and 7.413 Å, with angles of 90.00, 90.00 and 90.00 degrees. The inequivalent atoms are Rh at (0.000, 0.000, 0.000), W at (0.500, 0.500, 0.500), I at (0.000, 0.000, 0.500) and N at (0.000, 0.500, 0.000).

The calculation puts the energy relative to the elements, uncorrected at 1.9717 eV/atom. As for the energy above the lowest structure with this stoichiometry: 1.185 eV per atom. As for the total DFT energy (no corrections): -5.729 eV per atom. The calculation puts the density of states at the Fermi level at 3.79 states/eV/f.u.